# TeBrCl | the Alexandria database | PBE | optimized geometry
data_TeBrCl
_chemical_formula_sum 'Te2 Br2 Cl2'
_space_group_name_H-M_alt 'A m m 2'
_space_group_IT_number 38
_cell_length_a 5.309
_cell_length_b 3.785
_cell_length_c 10.589
_cell_angle_alpha 90.00
_cell_angle_beta 90.00
_cell_angle_gamma 90.00
loop_
_space_group_symop_operation_xyz
'x,y,z'
'-x,-y,z'
'-x,y,z'
'x,-y,z'
'x,y+1/2,z+1/2'
'-x,-y+1/2,z+1/2'
'-x,y+1/2,z+1/2'
'x,-y+1/2,z+1/2'
loop_
_atom_site_label
_atom_site_type_symbol
_atom_site_fract_x
_atom_site_fract_y
_atom_site_fract_z
Te1 Te 0.000 0.000 0.000
Br1 Br 0.000 0.000 0.754
Cl1 Cl 0.500 0.000 0.011
# Total DFT energy (no corrections) ... -2.45 eV per atom
# Formation energy without anion corrections ... -0.2336 eV per atom

# Pm3CdRh3 | the Alexandria database | PBE | optimized geometry
data_Pm3CdRh3
_chemical_formula_sum 'Pm12 Cd4 Rh12'
_space_group_name_H-M_alt 'C m c m'
_space_group_IT_number 63
_space_group_name_Hall '-C 2c 2'
_cell_length_a 4.404
_cell_length_b 10.434
_cell_length_c 13.814
_cell_angle_alpha 90.00
_cell_angle_beta 90.00
_cell_angle_gamma 90.00
loop_
_atom_site_label
_atom_site_type_symbol
_atom_site_fract_x
_atom_site_fract_y
_atom_site_fract_z
Pm1 Pm 0.000 0.026 0.250
Pm2 Pm 0.000 0.306 0.105
Cd1 Cd 0.000 0.000 0.000
Rh1 Rh 0.000 0.244 0.750
Rh2 Rh 0.000 0.401 0.595
# Formation energy from the elements ... -4.5 eV/f.u.
# Total DFT energy (no corrections) ... -5.97 eV per atom

# Sm2HfPaN4 | the Alexandria database | PBE | optimized geometry
data_Sm2HfPaN4
_chemical_formula_sum 'Sm2 Hf1 Pa1 N4'
_space_group_name_H-M_alt 'P 1 2/m 1'
_space_group_IT_number 10
_cell_length_a 5.952
_cell_length_b 3.448
_cell_length_c 6.043
_cell_angle_alpha 90.00
_cell_angle_beta 108.81
_cell_angle_gamma 90.00
loop_
_space_group_symop_operation_xyz
'x,y,z'
'-x,-y,-z'
'-x,y,-z'
'x,-y,z'
loop_
_atom_site_label
_atom_site_type_symbol
_atom_site_fract_x
_atom_site_fract_y
_atom_site_fract_z
Sm1 Sm 0.000 0.000 0.000
Sm2 Sm 0.500 0.500 0.000
Hf1 Hf 0.000 0.500 0.500
Pa1 Pa 0.500 0.000 0.500
N1 N 0.232 0.000 0.712
N2 N 0.249 0.500 0.282
# Total DFT energy (no corrections) ... -9.41 eV per atom
# Formation energy without anion corrections ... -1.6340 eV per atom

# AlCdSi | the Alexandria database | PBE | optimized geometry
data_AlCdSi
_chemical_formula_sum 'Al2 Cd2 Si2'
_space_group_name_H-M_alt 'P 1 21 1'
_space_group_IT_number 4
_cell_length_a 4.124
_cell_length_b 4.922
_cell_length_c 6.000
_cell_angle_alpha 90.00
_cell_angle_beta 92.92
_cell_angle_gamma 90.00
loop_
_space_group_symop_operation_xyz
'x,y,z'
'-x,y+1/2,-z'
loop_
_atom_site_label
_atom_site_type_symbol
_atom_site_fract_x
_atom_site_fract_y
_atom_site_fract_z
Al1 Al 0.136 0.000 0.113
Cd1 Cd 0.234 0.738 0.541
Si1 Si 0.383 0.497 0.132
# Total DFT energy (no corrections) ... -3.17 eV per atom
# Formation energy without anion corrections ... 0.1921 eV per atom

# Si2NiHg2 | the Alexandria database | PBE | optimized geometry
data_Si2NiHg2
_chemical_formula_sum 'Si4 Ni2 Hg4'
_space_group_name_H-M_alt 'P 4/m b m'
_space_group_IT_number 127
_space_group_name_Hall '-P 4 2ab'
_cell_length_a 6.017
_cell_length_b 6.017
_cell_length_c 5.314
_cell_angle_alpha 90.00
_cell_angle_beta 90.00
_cell_angle_gamma 90.00
loop_
_atom_site_label
_atom_site_type_symbol
_atom_site_fract_x
_atom_site_fract_y
_atom_site_fract_z
Si1 Si 0.145 0.355 0.000
Ni1 Ni 0.000 0.000 0.000
Hg1 Hg 0.194 0.306 0.500
# Total DFT energy (no corrections) ... -3.28 eV per atom
# Formation energy without anion corrections ... 0.1669 eV per atom

# Pm3Nd4Sm5 | the Alexandria database | PBE | optimized geometry
data_Pm3Nd4Sm5
_chemical_formula_sum 'Pm6 Nd8 Sm10'
_space_group_name_H-M_alt 'C 1 2/m 1'
_space_group_IT_number 12
_cell_length_a 16.365
_cell_length_b 6.056
_cell_length_c 9.461
_cell_angle_alpha 90.00
_cell_angle_beta 116.04
_cell_angle_gamma 90.00
loop_
_space_group_symop_operation_xyz
'x,y,z'
'-x,-y,-z'
'-x,y,-z'
'x,-y,z'
'x+1/2,y+1/2,z'
'-x+1/2,-y+1/2,-z'
'-x+1/2,y+1/2,-z'
'x+1/2,-y+1/2,z'
loop_
_atom_site_label
_atom_site_type_symbol
_atom_site_fract_x
_atom_site_fract_y
_atom_site_fract_z
Pm1 Pm 0.000 0.000 0.000
Pm2 Pm 0.208 0.500 0.228
Nd1 Nd 0.083 0.500 0.442
Nd2 Nd 0.213 0.500 0.879
Sm1 Sm 0.000 0.500 0.000
Sm2 Sm 0.073 0.000 0.699
Sm3 Sm 0.172 0.000 0.389
# Formation energy from the elements ... 2.4 eV/f.u.
# Total DFT energy (no corrections) ... -4.54 eV per atom

# Co3BiH | the Alexandria database | PBE | optimized geometry
data_Co3BiH
_chemical_formula_sum 'Co3 Bi1 H1'
_space_group_name_H-M_alt 'P m -3 m'
_space_group_IT_number 221
_space_group_name_Hall '-P 4 2 3'
_cell_length_a 3.816
_cell_length_b 3.816
_cell_length_c 3.816
_cell_angle_alpha 90.00
_cell_angle_beta 90.00
_cell_angle_gamma 90.00
loop_
_atom_site_label
_atom_site_type_symbol
_atom_site_fract_x
_atom_site_fract_y
_atom_site_fract_z
Co1 Co 0.000 0.000 0.500
Bi1 Bi 0.500 0.500 0.500
H1 H 0.000 0.000 0.000
# Total DFT energy (no corrections) ... -5.47 eV per atom

# DyTiBi | the Alexandria database | PBE | optimized geometry
data_DyTiBi
_chemical_formula_sum 'Dy2 Ti2 Bi2'
_space_group_name_H-M_alt 'P 4/n m m'
_space_group_IT_number 129
_cell_length_a 4.278
_cell_length_b 4.278
_cell_length_c 8.086
_cell_angle_alpha 90.00
_cell_angle_beta 90.00
_cell_angle_gamma 90.00
loop_
_space_group_symop_operation_xyz
'x,y,z'
'-x,-y,-z'
'-y+1/2,x,z'
'y+1/2,-x,-z'
'-x+1/2,-y+1/2,z'
'x+1/2,y+1/2,-z'
'y,-x+1/2,z'
'-y,x+1/2,-z'
'x+1/2,-y,-z'
'-x+1/2,y,z'
'-y,-x,-z'
'y,x,z'
'-x,y+1/2,-z'
'x,-y+1/2,z'
'y+1/2,x+1/2,-z'
'-y+1/2,-x+1/2,z'
loop_
_atom_site_label
_atom_site_type_symbol
_atom_site_fract_x
_atom_site_fract_y
_atom_site_fract_z
Dy1 Dy 0.250 0.250 0.154
Ti1 Ti 0.250 0.750 0.500
Bi1 Bi 0.250 0.250 0.753
# Formation energy from the elements ... -1.3 eV/f.u.
# Total DFT energy (no corrections) ... -5.91 eV per atom